Entry 1:
Entry from the Alexandria database: a geometry-optimized TlHgAu4 structure (GGA-PBEsol).

Properties
The density is 16.541 g cm⁻³. The formation enthalpy at 0 K is 0.035 eV per atom.

Cell and atoms, written as CIF:
```
data_TlHgAu4
_chemical_formula_sum 'Tl4 Hg4 Au16'
_cell_length_a 7.8242
_cell_length_b 7.8242
_cell_length_c 7.8242
_cell_angle_alpha 90.00
_cell_angle_beta 90.00
_cell_angle_gamma 90.00
_symmetry_space_group_name_H-M 'F -4 3 m'
_symmetry_Int_Tables_number 216
_symmetry_space_group_name_Hall 'F -4 2 3'
loop_
_atom_site_label
_atom_site_fract_x
_atom_site_fract_y
_atom_site_fract_z
Tl1 0.0000 0.0000 0.0000
Hg1 0.2500 0.2500 0.7500
Au1 0.1248 0.1248 0.3752
```



Entry 2:
Entry from the Alexandria database: a geometry-optimized TlHg2Au2 structure (GGA-PBEsol).

Properties
The density is 14.254 g cm⁻³. The formation enthalpy at 0 K is 0.054 eV per atom. The offset from the most stable computed form is 15 meV per atom.

Cell and atoms, written as CIF:
```
data_TlHg2Au2
_chemical_formula_sum 'Tl2 Hg4 Au4'
_cell_length_a 3.8163
_cell_length_b 3.8163
_cell_length_c 15.9895
_cell_angle_alpha 90.00
_cell_angle_beta 90.00
_cell_angle_gamma 90.00
_symmetry_space_group_name_H-M 'I 4/m m m'
_symmetry_Int_Tables_number 139
_symmetry_space_group_name_Hall '-I 4 2'
loop_
_atom_site_label
_atom_site_fract_x
_atom_site_fract_y
_atom_site_fract_z
Tl1 0.0000 0.0000 0.0000
Hg1 0.0000 0.0000 0.3893
Au1 0.0000 0.5000 0.2500
```



Entry 3:
Entry from the Alexandria database: a geometry-optimized TlHgAu2 structure (GGA-PBEsol).

Properties
The density is 14.646 g cm⁻³. The formation enthalpy at 0 K is 0.109 eV per atom. The offset from the most stable computed form is 82 meV per atom.

Cell and atoms, written as CIF:
```
data_TlHgAu2
_chemical_formula_sum 'Tl3 Hg3 Au6'
_cell_length_a 3.9605
_cell_length_b 3.9605
_cell_length_c 20.0029
_cell_angle_alpha 90.00
_cell_angle_beta 90.00
_cell_angle_gamma 120.00
_symmetry_space_group_name_H-M 'R -3 m'
_symmetry_Int_Tables_number 166
_symmetry_space_group_name_Hall '-R 3 2"'
loop_
_atom_site_label
_atom_site_fract_x
_atom_site_fract_y
_atom_site_fract_z
Tl1 0.0000 0.0000 0.0000
Hg1 0.0000 0.0000 0.5000
Au1 0.0000 0.0000 0.2474
```



Entry 4:
Entry from the Alexandria database: a geometry-optimized TlHgAu2 structure (GGA-PBEsol).

Properties
The density is 15.852 g cm⁻³. The formation enthalpy at 0 K is 0.070 eV per atom. The offset from the most stable computed form is 43 meV per atom.

Cell and atoms, written as CIF:
```
data_TlHgAu2
_chemical_formula_sum 'Tl1 Hg1 Au2'
_cell_length_a 3.1372
_cell_length_b 3.7784
_cell_length_c 7.0598
_cell_angle_alpha 90.00
_cell_angle_beta 90.00
_cell_angle_gamma 90.00
_symmetry_space_group_name_H-M 'P m m 2'
_symmetry_Int_Tables_number 25
_symmetry_space_group_name_Hall 'P 2 -2'
loop_
_atom_site_label
_atom_site_fract_x
_atom_site_fract_y
_atom_site_fract_z
Tl1 0.0000 0.0000 0.0000
Hg1 0.5000 0.5000 0.6913
Au1 0.0000 0.0000 0.4615
Au2 0.5000 0.5000 0.2601
```



Entry 5:
Entry from the Alexandria database: a geometry-optimized TlHgAu2 structure (GGA-PBEsol).

Properties
The density is 15.657 g cm⁻³. The formation enthalpy at 0 K is 0.027 eV per atom. The offset from the most stable computed form is 0 meV per atom.

Cell and atoms, written as CIF:
```
data_TlHgAu2
_chemical_formula_sum 'Tl2 Hg2 Au4'
_cell_length_a 4.3361
_cell_length_b 3.6600
_cell_length_c 10.6779
_cell_angle_alpha 90.00
_cell_angle_beta 90.00
_cell_angle_gamma 90.00
_symmetry_space_group_name_H-M 'A m m 2'
_symmetry_Int_Tables_number 38
_symmetry_space_group_name_Hall 'A 2 -2'
loop_
_atom_site_label
_atom_site_fract_x
_atom_site_fract_y
_atom_site_fract_z
Tl1 0.0000 0.0000 0.0000
Hg1 0.5000 0.0000 0.6959
Au1 0.0000 0.0000 0.2631
Au2 0.5000 0.0000 0.4278
```



Entry 6:
Entry from the Alexandria database: a geometry-optimized YHgAu structure (GGA-PBEsol).

Properties
The density is 12.500 g cm⁻³. The formation enthalpy at 0 K is -0.677 eV per atom.

Cell and atoms, written as CIF:
```
data_YHgAu
_chemical_formula_sum 'Y2 Hg2 Au2'
_cell_length_a 3.7535
_cell_length_b 3.7535
_cell_length_c 9.1732
_cell_angle_alpha 90.00
_cell_angle_beta 90.00
_cell_angle_gamma 90.00
_symmetry_space_group_name_H-M 'I 4 m m'
_symmetry_Int_Tables_number 107
_symmetry_space_group_name_Hall 'I 4 -2'
loop_
_atom_site_label
_atom_site_fract_x
_atom_site_fract_y
_atom_site_fract_z
Y1 0.0000 0.0000 0.0000
Hg1 0.0000 0.0000 0.6745
Au1 0.0000 0.0000 0.3380
```